(1)
VASP calculation (PBE) on a relaxed structure of LaPr2In3AgPt2.

Cell lengths 4.051, 13.680, 7.917 Å; angles 90.00, 90.00, 90.00 degrees
Space group Amm2 (No. 38)
Unique sites:
La  0.000  0.000  0.000 [2 per cell]
Pr  0.000  0.207  0.376 [4 per cell]
In  0.500  0.000  0.328 [2 per cell]
In  0.500  0.131  0.712 [4 per cell]
Ag  0.000  0.000  0.584 [2 per cell]
Pt  0.500  0.165  0.082 [4 per cell]

Output
final energy: -4.9811 eV per atom
calculated volume: 438.7 Å³ per cell

---

(2)
VASP calculation (PBE) on a relaxed structure of La2PrIn3AgPt2.

Cell lengths 4.082, 13.715, 7.897 Å; angles 90.00, 90.00, 90.00 degrees
Space group Amm2 (No. 38)
Unique sites:
La  0.000  0.208  0.000 [4 per cell]
Pr  0.000  0.000  0.378 [2 per cell]
In  0.500  0.000  0.052 [2 per cell]
In  0.500  0.127  0.662 [4 per cell]
Ag  0.000  0.000  0.793 [2 per cell]
Pt  0.500  0.168  0.291 [4 per cell]

Output
final energy: -5.0140 eV per atom
calculated volume: 442.1 Å³ per cell

---

(3)
VASP calculation (PBE) on a relaxed structure of LaTb2In3AgPt2.

Cell lengths 3.902, 13.669, 7.853 Å; angles 90.00, 90.00, 90.00 degrees
Space group Amm2 (No. 38)
Unique sites:
La  0.000  0.000  0.000 [2 per cell]
Tb  0.000  0.206  0.380 [4 per cell]
In  0.500  0.000  0.327 [2 per cell]
In  0.500  0.135  0.716 [4 per cell]
Ag  0.000  0.000  0.585 [2 per cell]
Pt  0.500  0.169  0.087 [4 per cell]

Output
final energy: -4.9655 eV per atom
calculated volume: 418.8 Å³ per cell

---

(4)
VASP calculation (PBE) on a relaxed structure of La2YIn3AgPt2.

Cell lengths 4.013, 13.657, 7.875 Å; angles 90.00, 90.00, 90.00 degrees
Space group Amm2 (No. 38)
Unique sites:
La  0.000  0.208  0.000 [4 per cell]
Y  0.000  0.000  0.379 [2 per cell]
In  0.500  0.000  0.058 [2 per cell]
In  0.500  0.127  0.659 [4 per cell]
Ag  0.000  0.000  0.791 [2 per cell]
Pt  0.500  0.164  0.293 [4 per cell]

Output
final energy: -5.2048 eV per atom
calculated volume: 431.6 Å³ per cell

---

(5)
VASP calculation (PBE) on a relaxed structure of LaY2In3AgPt2.

Cell lengths 3.852, 13.736, 7.898 Å; angles 90.00, 90.00, 90.00 degrees
Space group Amm2 (No. 38)
Unique sites:
La  0.000  0.000  0.000 [2 per cell]
Y  0.000  0.205  0.382 [4 per cell]
In  0.500  0.000  0.327 [2 per cell]
In  0.500  0.136  0.718 [4 per cell]
Ag  0.000  0.000  0.586 [2 per cell]
Pt  0.500  0.169  0.088 [4 per cell]

Output
final energy: -5.3734 eV per atom
calculated volume: 417.9 Å³ per cell

---

(6)
VASP calculation (PBE) on a relaxed structure of Li2InAg.

Cell lengths 6.530, 6.530, 6.530 Å; angles 90.00, 90.00, 90.00 degrees
Space group F-43m (No. 216)
Unique sites:
Li  0.000  0.000  0.000 [4 per cell]
Li  0.250  0.250  0.250 [4 per cell]
In  0.000  0.000  0.500 [4 per cell]
Ag  0.250  0.250  0.750 [4 per cell]

Output
final energy: -2.6378 eV per atom
calculated volume: 278.5 Å³ per cell

---

(7)
VASP calculation (PBE) on a relaxed structure of Li3In2Ag2.

Cell lengths 8.060, 4.709, 7.277 Å; angles 90.00, 112.64, 90.00 degrees
Space group C2/m (No. 12)
Unique sites:
Li  0.000  0.000  0.000 [2 per cell]
Li  0.146  0.000  0.438 [4 per cell]
In  0.074  0.500  0.722 [4 per cell]
Ag  0.217  0.500  0.151 [4 per cell]

Output
final energy: -2.6850 eV per atom
calculated volume: 254.9 Å³ per cell

---

(8)
VASP calculation (PBE) on a relaxed structure of Li2InAg.

Cell lengths 4.629, 4.629, 6.540 Å; angles 90.00, 90.00, 90.00 degrees
Space group P-4m2 (No. 115)
Unique sites:
Li  0.000  0.000  0.000 [1 per cell]
Li  0.000  0.500  0.249 [2 per cell]
Li  0.500  0.500  0.500 [1 per cell]
In  0.000  0.500  0.750 [2 per cell]
Ag  0.000  0.000  0.500 [1 per cell]
Ag  0.500  0.500  0.000 [1 per cell]

Output
final energy: -2.6390 eV per atom
calculated volume: 140.1 Å³ per cell

---

(9)
VASP calculation (PBE) on a relaxed structure of Li2LuScIn2Ag2.

Cell lengths 4.773, 4.773, 6.749 Å; angles 90.00, 90.00, 90.00 degrees
Space group P-4m2 (No. 115)
Unique sites:
Li  0.000  0.500  0.245 [2 per cell]
Lu  0.000  0.000  0.500 [1 per cell]
Sc  0.500  0.500  0.000 [1 per cell]
In  0.000  0.000  0.000 [1 per cell]
In  0.500  0.500  0.500 [1 per cell]
Ag  0.000  0.500  0.755 [2 per cell]

Output
final energy: -3.5800 eV per atom
calculated volume: 153.8 Å³ per cell

---

(10)
VASP calculation (PBE) on a relaxed structure of Li2Mg2In2NiAg.

Cell lengths 4.558, 4.558, 6.608 Å; angles 90.00, 90.00, 90.00 degrees
Space group P-4m2 (No. 115)
Unique sites:
Li  0.000  0.000  0.000 [1 per cell]
Li  0.500  0.500  0.500 [1 per cell]
Mg  0.000  0.500  0.236 [2 per cell]
In  0.000  0.500  0.771 [2 per cell]
Ni  0.500  0.500  0.000 [1 per cell]
Ag  0.000  0.000  0.500 [1 per cell]

Output
final energy: -2.8611 eV per atom
calculated volume: 137.3 Å³ per cell

---

(11)
VASP calculation (PBE) on a relaxed structure of Li2Mg2In2AgPt.

Cell lengths 4.634, 4.634, 6.635 Å; angles 90.00, 90.00, 90.00 degrees
Space group P-4m2 (No. 115)
Unique sites:
Li  0.000  0.000  0.000 [1 per cell]
Li  0.500  0.500  0.500 [1 per cell]
Mg  0.000  0.500  0.235 [2 per cell]
In  0.000  0.500  0.758 [2 per cell]
Ag  0.000  0.000  0.500 [1 per cell]
Pt  0.500  0.500  0.000 [1 per cell]

Output
final energy: -3.1056 eV per atom
calculated volume: 142.5 Å³ per cell

---

(12)
VASP calculation (PBE) on a relaxed structure of Li2Mg2ZnInAg2.

Cell lengths 4.613, 4.613, 6.599 Å; angles 90.00, 90.00, 90.00 degrees
Space group P-4m2 (No. 115)
Unique sites:
Li  0.000  0.500  0.231 [2 per cell]
Mg  0.000  0.000  0.000 [1 per cell]
Mg  0.500  0.500  0.500 [1 per cell]
Zn  0.500  0.500  0.000 [1 per cell]
In  0.000  0.000  0.500 [1 per cell]
Ag  0.000  0.500  0.765 [2 per cell]

Output
final energy: -2.3038 eV per atom
calculated volume: 140.4 Å³ per cell

---

(13)
VASP calculation (PBE) on a relaxed structure of Li2NdYIn2Ag2.

Cell lengths 4.931, 4.931, 6.972 Å; angles 90.00, 90.00, 90.00 degrees
Space group P-4m2 (No. 115)
Unique sites:
Li  0.000  0.500  0.245 [2 per cell]
Nd  0.000  0.000  0.500 [1 per cell]
Y  0.500  0.500  0.000 [1 per cell]
In  0.000  0.000  0.000 [1 per cell]
In  0.500  0.500  0.500 [1 per cell]
Ag  0.000  0.500  0.757 [2 per cell]

Output
final energy: -3.6691 eV per atom
calculated volume: 169.5 Å³ per cell

---

(14)
VASP calculation (PBE) on a relaxed structure of Li2Sc2In2NiAg.

Cell lengths 4.573, 4.573, 6.653 Å; angles 90.00, 90.00, 90.00 degrees
Space group P-4m2 (No. 115)
Unique sites:
Li  0.000  0.000  0.000 [1 per cell]
Li  0.500  0.500  0.500 [1 per cell]
Sc  0.000  0.500  0.729 [2 per cell]
In  0.000  0.500  0.263 [2 per cell]
Ni  0.000  0.000  0.500 [1 per cell]
Ag  0.500  0.500  0.000 [1 per cell]

Output
final energy: -4.1838 eV per atom
calculated volume: 139.1 Å³ per cell

---

(15)
VASP calculation (PBE) on a relaxed structure of Li2Y2In2NiAg.

Cell lengths 4.750, 4.750, 6.871 Å; angles 90.00, 90.00, 90.00 degrees
Space group P-4m2 (No. 115)
Unique sites:
Li  0.000  0.000  0.000 [1 per cell]
Li  0.500  0.500  0.500 [1 per cell]
Y  0.000  0.500  0.732 [2 per cell]
In  0.000  0.500  0.261 [2 per cell]
Ni  0.000  0.000  0.500 [1 per cell]
Ag  0.500  0.500  0.000 [1 per cell]

Output
final energy: -4.2240 eV per atom
calculated volume: 155.0 Å³ per cell

---

(16)
VASP calculation (PBE) on a relaxed structure of Li4InAg2Pb.

Cell lengths 4.676, 4.676, 6.594 Å; angles 90.00, 90.00, 90.00 degrees
Space group P-4m2 (No. 115)
Unique sites:
Li  0.000  0.000  0.000 [1 per cell]
Li  0.000  0.500  0.247 [2 per cell]
Li  0.500  0.500  0.500 [1 per cell]
In  0.500  0.500  0.000 [1 per cell]
Ag  0.000  0.500  0.761 [2 per cell]
Pb  0.000  0.000  0.500 [1 per cell]

Output
final energy: -2.7467 eV per atom
calculated volume: 144.2 Å³ per cell

---

(17)
VASP calculation (PBE) on a relaxed structure of Li2Zn2In2AgPd.

Cell lengths 4.556, 4.556, 6.457 Å; angles 90.00, 90.00, 90.00 degrees
Space group P-4m2 (No. 115)
Unique sites:
Li  0.000  0.000  0.000 [1 per cell]
Li  0.500  0.500  0.500 [1 per cell]
Zn  0.000  0.500  0.739 [2 per cell]
In  0.000  0.500  0.260 [2 per cell]
Ag  0.500  0.500  0.000 [1 per cell]
Pd  0.000  0.000  0.500 [1 per cell]

Output
final energy: -2.7883 eV per atom
calculated volume: 134.0 Å³ per cell

---

(18)
VASP calculation (PBE) on a relaxed structure of LiZr2In2AgPd2.

Cell lengths 4.684, 4.684, 6.670 Å; angles 90.00, 90.00, 90.00 degrees
Space group P-4m2 (No. 115)
Unique sites:
Li  0.000  0.000  0.000 [1 per cell]
Zr  0.000  0.500  0.246 [2 per cell]
In  0.000  0.500  0.756 [2 per cell]
Ag  0.500  0.500  0.500 [1 per cell]
Pd  0.000  0.000  0.500 [1 per cell]
Pd  0.500  0.500  0.000 [1 per cell]

Output
final energy: -5.1957 eV per atom
calculated volume: 146.4 Å³ per cell

---

(19)
VASP calculation (PBE) on a relaxed structure of LiPrInAg.

Cell lengths 7.074, 7.074, 7.074 Å; angles 90.00, 90.00, 90.00 degrees
Space group F-43m (No. 216)
Unique sites:
Li  0.000  0.000  0.000 [4 per cell]
Pr  0.250  0.250  0.250 [4 per cell]
In  0.250  0.250  0.750 [4 per cell]
Ag  0.000  0.000  0.500 [4 per cell]

Output
final energy: -3.4553 eV per atom
calculated volume: 354.0 Å³ per cell

---

(20)
VASP calculation (PBE) on a relaxed structure of LiInAgPt.

Cell lengths 4.280, 4.280, 7.353 Å; angles 90.00, 90.00, 90.00 degrees
Space group I-4m2 (No. 119)
Unique sites:
Li  0.000  0.000  0.000 [2 per cell]
In  0.000  0.000  0.500 [2 per cell]
Ag  0.000  0.500  0.250 [2 per cell]
Pt  0.000  0.500  0.750 [2 per cell]

Output
final energy: -3.7892 eV per atom
calculated volume: 134.7 Å³ per cell